No. 1
# PBE-GGA CuMoSe, optimized geometry
data_CuMoSe
_chemical_formula_sum 'Cu4 Mo4 Se4'
_symmetry_space_group_name_H-M 'F -4 3 m'
_symmetry_Int_Tables_number 216
_symmetry_space_group_name_Hall 'F -4 2 3'
_cell_length_a 5.9738
_cell_length_b 5.9738
_cell_length_c 5.9738
_cell_angle_alpha 90.00
_cell_angle_beta 90.00
_cell_angle_gamma 90.00
loop_
_atom_site_label
_atom_site_fract_x
_atom_site_fract_y
_atom_site_fract_z
Cu1 0.0000 0.0000 0.0000
Mo1 0.2500 0.2500 0.2500
Se1 0.0000 0.0000 0.5000
# * final energy: -5.667 eV/atom
# * N(E_F): 2.78 states/eV/f.u.
# * uncorrected formation energy: 1.4 eV/f.u.
# * energy relative to the lowest polymorph listed for this composition: 10.12 kcal/mol of atoms

No. 2
# PBE-GGA CuMo2Se, optimized geometry
data_CuMo2Se
_chemical_formula_sum 'Cu3 Mo6 Se3'
_symmetry_space_group_name_H-M 'R 3 m'
_symmetry_Int_Tables_number 160
_symmetry_space_group_name_Hall 'R 3 -2"'
_cell_length_a 2.9445
_cell_length_b 2.9445
_cell_length_c 25.9622
_cell_angle_alpha 90.00
_cell_angle_beta 90.00
_cell_angle_gamma 120.00
loop_
_atom_site_label
_atom_site_fract_x
_atom_site_fract_y
_atom_site_fract_z
Cu1 0.0000 0.0000 0.0000
Mo1 0.0000 0.0000 0.2526
Mo2 0.0000 0.0000 0.4980
Se1 0.0000 0.0000 0.7589
# * final energy: -7.025 eV/atom
# * N(E_F): 4.07 states/eV/f.u.
# * uncorrected formation energy: 1.1 eV/f.u.

Which formula does entry 1 have?
CuMoSe

Among the records above, which one has the lowest N(E_F)?
CuMoSe

Which value of N(E_F) does entry 1 give?
2.78 states/eV/f.u.

Please write out number 1 again, unchanged.
# PBE-GGA CuMoSe, optimized geometry
data_CuMoSe
_chemical_formula_sum 'Cu4 Mo4 Se4'
_symmetry_space_group_name_H-M 'F -4 3 m'
_symmetry_Int_Tables_number 216
_symmetry_space_group_name_Hall 'F -4 2 3'
_cell_length_a 5.9738
_cell_length_b 5.9738
_cell_length_c 5.9738
_cell_angle_alpha 90.00
_cell_angle_beta 90.00
_cell_angle_gamma 90.00
loop_
_atom_site_label
_atom_site_fract_x
_atom_site_fract_y
_atom_site_fract_z
Cu1 0.0000 0.0000 0.0000
Mo1 0.2500 0.2500 0.2500
Se1 0.0000 0.0000 0.5000
# * final energy: -5.667 eV/atom
# * N(E_F): 2.78 states/eV/f.u.
# * uncorrected formation energy: 1.4 eV/f.u.
# * energy relative to the lowest polymorph listed for this composition: 10.12 kcal/mol of atoms